No. 1
A plane-wave DFT calculation with PBE-GGA was carried out for a relaxed structure of InFeIrOs.

Computed properties:
Relative energy among the computed polymorphs   0 meV per atom

Cell: 6.275 6.275 6.275 Å, 90.00 90.00 90.00°
Fractional positions:
In  0.000  0.000  0.000
In  0.000  0.500  0.500
In  0.500  0.000  0.500
In  0.500  0.500  0.000
Fe  0.250  0.250  0.250
Fe  0.250  0.750  0.750
Fe  0.750  0.250  0.750
Fe  0.750  0.750  0.250
Ir  0.250  0.250  0.750
Ir  0.250  0.750  0.250
Ir  0.750  0.250  0.250
Ir  0.750  0.750  0.750
Os  0.000  0.000  0.500
Os  0.000  0.500  0.000
Os  0.500  0.000  0.000
Os  0.500  0.500  0.500

=====

No. 2
A plane-wave DFT calculation with PBE-GGA was carried out for a relaxed structure of ScInFeIr.

Computed properties:
Relative energy among the computed polymorphs   147 meV per atom

Cell: 6.475 6.475 6.475 Å, 90.00 90.00 90.00°
Fractional positions:
Sc  0.000  0.000  0.000
Sc  0.000  0.500  0.500
Sc  0.500  0.000  0.500
Sc  0.500  0.500  0.000
In  0.250  0.250  0.250
In  0.250  0.750  0.750
In  0.750  0.250  0.750
In  0.750  0.750  0.250
Fe  0.000  0.000  0.500
Fe  0.000  0.500  0.000
Fe  0.500  0.000  0.000
Fe  0.500  0.500  0.500
Ir  0.250  0.250  0.750
Ir  0.250  0.750  0.250
Ir  0.750  0.250  0.250
Ir  0.750  0.750  0.750

=====

No. 3
A plane-wave DFT calculation with PBE-GGA was carried out for a relaxed structure of ScInFeIr.

Computed properties:
Relative energy among the computed polymorphs   0 meV per atom

Cell: 6.407 6.407 6.407 Å, 90.00 90.00 90.00°
Fractional positions:
Sc  0.000  0.000  0.000
Sc  0.000  0.500  0.500
Sc  0.500  0.000  0.500
Sc  0.500  0.500  0.000
In  0.000  0.000  0.500
In  0.000  0.500  0.000
In  0.500  0.000  0.000
In  0.500  0.500  0.500
Fe  0.250  0.250  0.750
Fe  0.250  0.750  0.250
Fe  0.750  0.250  0.250
Fe  0.750  0.750  0.750
Ir  0.250  0.250  0.250
Ir  0.250  0.750  0.750
Ir  0.750  0.250  0.750
Ir  0.750  0.750  0.250

=====

No. 4
A plane-wave DFT calculation with PBE-GGA was carried out for a relaxed structure of InFe4SiIr2.

Computed properties:
Energy   -7.54 eV/atom

Cell: 4.109 4.109 6.381 Å, 90.00 90.00 90.00°
Fractional positions:
In  0.000  0.000  0.000
Fe  0.000  0.000  0.500
Fe  0.000  0.500  0.730
Fe  0.500  0.000  0.270
Fe  0.500  0.500  0.000
Si  0.500  0.500  0.500
Ir  0.000  0.500  0.278
Ir  0.500  0.000  0.722

=====

No. 5
A plane-wave DFT calculation with PBE-GGA was carried out for a relaxed structure of InFeIrW.

Computed properties:
Relative energy among the computed polymorphs   0 meV per atom

Cell: 6.323 6.323 6.323 Å, 90.00 90.00 90.00°
Fractional positions:
In  0.000  0.000  0.000
In  0.000  0.500  0.500
In  0.500  0.000  0.500
In  0.500  0.500  0.000
Fe  0.250  0.250  0.250
Fe  0.250  0.750  0.750
Fe  0.750  0.250  0.750
Fe  0.750  0.750  0.250
Ir  0.250  0.250  0.750
Ir  0.250  0.750  0.250
Ir  0.750  0.250  0.250
Ir  0.750  0.750  0.750
W  0.000  0.000  0.500
W  0.000  0.500  0.000
W  0.500  0.000  0.000
W  0.500  0.500  0.500

=====

No. 6
A plane-wave DFT calculation with PBE-GGA was carried out for a relaxed structure of InFeIrW.

Computed properties:
Relative energy among the computed polymorphs   237 meV per atom

Cell: 6.318 6.318 6.318 Å, 90.00 90.00 90.00°
Fractional positions:
In  0.000  0.000  0.000
In  0.000  0.500  0.500
In  0.500  0.000  0.500
In  0.500  0.500  0.000
Fe  0.250  0.250  0.250
Fe  0.250  0.750  0.750
Fe  0.750  0.250  0.750
Fe  0.750  0.750  0.250
Ir  0.000  0.000  0.500
Ir  0.000  0.500  0.000
Ir  0.500  0.000  0.000
Ir  0.500  0.500  0.500
W  0.250  0.250  0.750
W  0.250  0.750  0.250
W  0.750  0.250  0.250
W  0.750  0.750  0.750

=====

No. 7
A plane-wave DFT calculation with PBE-GGA was carried out for a relaxed structure of YInFeIr.

Computed properties:
Relative energy among the computed polymorphs   167 meV per atom

Cell: 6.652 6.652 6.652 Å, 90.00 90.00 90.00°
Fractional positions:
Y  0.000  0.000  0.000
Y  0.000  0.500  0.500
Y  0.500  0.000  0.500
Y  0.500  0.500  0.000
In  0.250  0.250  0.250
In  0.250  0.750  0.750
In  0.750  0.250  0.750
In  0.750  0.750  0.250
Fe  0.000  0.000  0.500
Fe  0.000  0.500  0.000
Fe  0.500  0.000  0.000
Fe  0.500  0.500  0.500
Ir  0.250  0.250  0.750
Ir  0.250  0.750  0.250
Ir  0.750  0.250  0.250
Ir  0.750  0.750  0.750

=====

No. 8
A plane-wave DFT calculation with PBE-GGA was carried out for a relaxed structure of YInFeIr.

Computed properties:
Relative energy among the computed polymorphs   0 meV per atom

Cell: 6.575 6.575 6.575 Å, 90.00 90.00 90.00°
Fractional positions:
Y  0.000  0.000  0.000
Y  0.000  0.500  0.500
Y  0.500  0.000  0.500
Y  0.500  0.500  0.000
In  0.000  0.000  0.500
In  0.000  0.500  0.000
In  0.500  0.000  0.000
In  0.500  0.500  0.500
Fe  0.250  0.250  0.750
Fe  0.250  0.750  0.250
Fe  0.750  0.250  0.250
Fe  0.750  0.750  0.750
Ir  0.250  0.250  0.250
Ir  0.250  0.750  0.750
Ir  0.750  0.250  0.750
Ir  0.750  0.750  0.250

=====

No. 9
A plane-wave DFT calculation with PBE-GGA was carried out for a relaxed structure of ZnInFeIr.

Computed properties:
Energy   -5.20 eV/atom

Cell: 6.255 6.255 6.255 Å, 90.00 90.00 90.00°
Fractional positions:
Zn  0.000  0.000  0.000
Zn  0.000  0.500  0.500
Zn  0.500  0.000  0.500
Zn  0.500  0.500  0.000
In  0.000  0.000  0.500
In  0.000  0.500  0.000
In  0.500  0.000  0.000
In  0.500  0.500  0.500
Fe  0.250  0.250  0.750
Fe  0.250  0.750  0.250
Fe  0.750  0.250  0.250
Fe  0.750  0.750  0.750
Ir  0.250  0.250  0.250
Ir  0.250  0.750  0.750
Ir  0.750  0.250  0.750
Ir  0.750  0.750  0.250

=====

No. 10
A plane-wave DFT calculation with PBE-GGA was carried out for a relaxed structure of ZrInFeIr.

Computed properties:
Relative energy among the computed polymorphs   294 meV per atom

Cell: 6.539 6.539 6.539 Å, 90.00 90.00 90.00°
Fractional positions:
Zr  0.000  0.000  0.000
Zr  0.000  0.500  0.500
Zr  0.500  0.000  0.500
Zr  0.500  0.500  0.000
In  0.250  0.250  0.250
In  0.250  0.750  0.750
In  0.750  0.250  0.750
In  0.750  0.750  0.250
Fe  0.000  0.000  0.500
Fe  0.000  0.500  0.000
Fe  0.500  0.000  0.000
Fe  0.500  0.500  0.500
Ir  0.250  0.250  0.750
Ir  0.250  0.750  0.250
Ir  0.750  0.250  0.250
Ir  0.750  0.750  0.750

=====

No. 11
A plane-wave DFT calculation with PBE-GGA was carried out for a relaxed structure of ZrInFeIr.

Computed properties:
Relative energy among the computed polymorphs   0 meV per atom

Cell: 6.354 6.354 6.354 Å, 90.00 90.00 90.00°
Fractional positions:
Zr  0.000  0.000  0.000
Zr  0.000  0.500  0.500
Zr  0.500  0.000  0.500
Zr  0.500  0.500  0.000
In  0.000  0.000  0.500
In  0.000  0.500  0.000
In  0.500  0.000  0.000
In  0.500  0.500  0.500
Fe  0.250  0.250  0.750
Fe  0.250  0.750  0.250
Fe  0.750  0.250  0.250
Fe  0.750  0.750  0.750
Ir  0.250  0.250  0.250
Ir  0.250  0.750  0.750
Ir  0.750  0.250  0.750
Ir  0.750  0.750  0.250

=====

No. 12
A plane-wave DFT calculation with PBE-GGA was carried out for a relaxed structure of La3InFeS7.

Computed properties:
Energy   -6.09 eV/atom

Cell: 10.136 6.324 10.168 Å, 90.00 119.78 90.00°
Fractional positions:
La  0.128  0.000  0.350
La  0.275  0.498  0.125
La  0.351  0.500  0.723
La  0.649  0.000  0.277
La  0.725  0.998  0.875
La  0.872  0.500  0.650
In  0.167  0.927  0.833
In  0.833  0.427  0.167
Fe  0.497  0.809  0.496
Fe  0.503  0.309  0.504
S  0.013  0.759  0.933
S  0.068  0.759  0.581
S  0.166  0.309  0.832
S  0.273  0.574  0.405
S  0.367  0.074  0.273
S  0.406  0.074  0.633
S  0.420  0.759  0.986
S  0.580  0.259  0.014
S  0.594  0.574  0.367
S  0.633  0.574  0.727
S  0.727  0.074  0.595
S  0.834  0.809  0.168
S  0.932  0.259  0.419
S  0.987  0.259  0.067

=====

No. 13
A plane-wave DFT calculation with PBE-GGA was carried out for a relaxed structure of LaInFeTe3.

Computed properties:
Energy   -4.85 eV/atom

Cell: 8.016 8.016 11.958 Å, 90.00 90.00 147.92°
Fractional positions:
La  0.000  0.000  0.000
La  0.000  0.000  0.500
In  0.245  0.755  0.750
In  0.755  0.245  0.250
Fe  0.471  0.529  0.250
Fe  0.529  0.471  0.750
Te  0.074  0.926  0.250
Te  0.362  0.638  0.081
Te  0.362  0.638  0.419
Te  0.638  0.362  0.581
Te  0.638  0.362  0.919
Te  0.926  0.074  0.750

=====

No. 14
A plane-wave DFT calculation with PBE-GGA was carried out for a relaxed structure of LiInFe2.

Computed properties:
Energy   -5.00 eV/atom

Cell: 6.117 6.117 6.117 Å, 90.00 90.00 90.00°
Fractional positions:
Li  0.000  0.000  0.000
Li  0.000  0.000  0.500
Li  0.000  0.500  0.000
Li  0.500  0.000  0.000
In  0.000  0.500  0.500
In  0.500  0.000  0.500
In  0.500  0.500  0.000
In  0.500  0.500  0.500
Fe  0.219  0.219  0.219
Fe  0.219  0.219  0.781
Fe  0.219  0.781  0.219
Fe  0.219  0.781  0.781
Fe  0.781  0.219  0.219
Fe  0.781  0.219  0.781
Fe  0.781  0.781  0.219
Fe  0.781  0.781  0.781

=====

No. 15
A plane-wave DFT calculation with PBE-GGA was carried out for a relaxed structure of LiInFe2.

Computed properties:
Energy   -5.00 eV/atom

Cell: 6.119 6.119 6.119 Å, 90.00 90.00 90.00°
Fractional positions:
Li  0.000  0.000  0.000
Li  0.000  0.000  0.500
Li  0.000  0.500  0.000
Li  0.500  0.000  0.000
In  0.000  0.500  0.500
In  0.500  0.000  0.500
In  0.500  0.500  0.000
In  0.500  0.500  0.500
Fe  0.219  0.219  0.219
Fe  0.219  0.219  0.781
Fe  0.219  0.781  0.219
Fe  0.219  0.781  0.781
Fe  0.781  0.219  0.219
Fe  0.781  0.219  0.781
Fe  0.781  0.781  0.219
Fe  0.781  0.781  0.781

=====

No. 16
A plane-wave DFT calculation with PBE-GGA was carried out for a relaxed structure of Li2Mg2InFe2Sn.

Computed properties:
Energy   -3.80 eV/atom

Cell: 4.536 4.536 6.405 Å, 90.00 90.00 90.00°
Fractional positions:
Li  0.000  0.500  0.249
Li  0.500  0.000  0.751
Mg  0.000  0.000  0.500
Mg  0.500  0.500  0.000
In  0.000  0.000  0.000
Fe  0.000  0.500  0.745
Fe  0.500  0.000  0.255
Sn  0.500  0.500  0.500

=====

No. 17
A plane-wave DFT calculation with PBE-GGA was carried out for a relaxed structure of LiInFeMo.

Computed properties:
Relative energy among the computed polymorphs   0 meV per atom

Cell: 6.067 6.067 6.067 Å, 90.00 90.00 90.00°
Fractional positions:
Li  0.000  0.000  0.000
Li  0.000  0.500  0.500
Li  0.500  0.000  0.500
Li  0.500  0.500  0.000
In  0.250  0.250  0.250
In  0.250  0.750  0.750
In  0.750  0.250  0.750
In  0.750  0.750  0.250
Fe  0.000  0.000  0.500
Fe  0.000  0.500  0.000
Fe  0.500  0.000  0.000
Fe  0.500  0.500  0.500
Mo  0.250  0.250  0.750
Mo  0.250  0.750  0.250
Mo  0.750  0.250  0.250
Mo  0.750  0.750  0.750

=====

No. 18
A plane-wave DFT calculation with PBE-GGA was carried out for a relaxed structure of LiInFeOs.

Computed properties:
Relative energy among the computed polymorphs   0 meV per atom

Cell: 6.091 6.091 6.091 Å, 90.00 90.00 90.00°
Fractional positions:
Li  0.000  0.000  0.000
Li  0.000  0.500  0.500
Li  0.500  0.000  0.500
Li  0.500  0.500  0.000
In  0.250  0.250  0.250
In  0.250  0.750  0.750
In  0.750  0.250  0.750
In  0.750  0.750  0.250
Fe  0.000  0.000  0.500
Fe  0.000  0.500  0.000
Fe  0.500  0.000  0.000
Fe  0.500  0.500  0.500
Os  0.250  0.250  0.750
Os  0.250  0.750  0.250
Os  0.750  0.250  0.250
Os  0.750  0.750  0.750

=====

No. 19
A plane-wave DFT calculation with PBE-GGA was carried out for a relaxed structure of LiScInFe.

Computed properties:
Relative energy among the computed polymorphs   100 meV per atom

Cell: 6.447 6.447 6.447 Å, 90.00 90.00 90.00°
Fractional positions:
Li  0.000  0.000  0.000
Li  0.000  0.500  0.500
Li  0.500  0.000  0.500
Li  0.500  0.500  0.000
Sc  0.250  0.250  0.750
Sc  0.250  0.750  0.250
Sc  0.750  0.250  0.250
Sc  0.750  0.750  0.750
In  0.000  0.000  0.500
In  0.000  0.500  0.000
In  0.500  0.000  0.000
In  0.500  0.500  0.500
Fe  0.250  0.250  0.250
Fe  0.250  0.750  0.750
Fe  0.750  0.250  0.750
Fe  0.750  0.750  0.250

=====

No. 20
A plane-wave DFT calculation with PBE-GGA was carried out for a relaxed structure of LiScInFe.

Computed properties:
Relative energy among the computed polymorphs   0 meV per atom

Cell: 6.389 6.389 6.389 Å, 90.00 90.00 90.00°
Fractional positions:
Li  0.000  0.000  0.000
Li  0.000  0.500  0.500
Li  0.500  0.000  0.500
Li  0.500  0.500  0.000
Sc  0.250  0.250  0.250
Sc  0.250  0.750  0.750
Sc  0.750  0.250  0.750
Sc  0.750  0.750  0.250
In  0.250  0.250  0.750
In  0.250  0.750  0.250
In  0.750  0.250  0.250
In  0.750  0.750  0.750
Fe  0.000  0.000  0.500
Fe  0.000  0.500  0.000
Fe  0.500  0.000  0.000
Fe  0.500  0.500  0.500